VASP calculation (PBE) on FeWAu2 after structural relaxation.

Cell lengths 7.2081, 7.2081, 5.1952 Å; angles 90.00, 90.00, 90.00 degrees
With the nearest neighbours (Å) after each atom.
Space group I-42d (No. 122)
One atom of each set of equivalent atoms:
Fe 0.0000 0.0000 0.0000 [4 per cell]  4 Au 2.54, 2 W 2.60
W 0.0000 0.0000 0.5000 [4 per cell]  2 Fe 2.60, 4 Au 2.72
Au 0.2318 0.7500 0.1250 [8 per cell]  2 Fe 2.54, 2 Au 2.61, 2 W 2.72

Properties
N(E_F): 1.77 states/eV per atom
VASP energy: -5.95 eV per atom
total magnetic moment: 0.0000 μB per atom

=====

VASP calculation (PBE) on ScAsH2 after structural relaxation.

Cell lengths 5.5831, 5.5831, 5.5831 Å; angles 90.00, 90.00, 90.00 degrees
With the nearest neighbours (Å) after each atom.
Space group Fm-3m (No. 225)
One atom of each set of equivalent atoms:
Sc 0.0000 0.0000 0.0000 [4 per cell]  8 H 2.42
As 0.0000 0.0000 0.5000 [4 per cell]  8 H 2.42
H 0.2500 0.2500 0.2500 [8 per cell]  4 Sc 2.42, 4 As 2.42

Properties
N(E_F): 0.12 states/eV per atom
VASP energy: -4.51 eV per atom
total magnetic moment: 0.0000 μB per atom

=====

VASP calculation (PBE) on Gd2NpGa after structural relaxation.

Cell lengths 3.4910, 3.4910, 31.0647 Å; angles 90.00, 90.00, 120.00 degrees
With the nearest neighbours (Å) after each atom.
Space group R-3m (No. 166, hexagonal axes)
One atom of each set of equivalent atoms:
Gd 0.0000 0.0000 0.2408 [6 per cell]  3 Ga 3.06
Np 0.0000 0.0000 0.0000 [3 per cell]  6 Np 3.49, 6 Gd 3.51
Ga 0.0000 0.0000 0.5000 [3 per cell]  6 Gd 3.06

Properties
N(E_F): 2.56 states/eV per atom
VASP energy: -10.91 eV per atom
total magnetic moment: 4.8476 μB per atom